Record 1
The following is a PBE calculation of a geometry-optimized Ti6Al2Ni structure, from Alexandria via LeMat-Bulk.

Summary:
Symmetry: C2/m (12)
Total energy: -58.76 eV for the cell shown
Formation energy from the elements: 0.209 eV per atom
Volume: 18.6 A^3/atom

Cell: 7.384 7.384 4.202 Å, 106.35 106.35 50.15°
Sites, in units of the cell vectors:
Ti (0.076, 0.601, 0.340)
Ti (0.232, 0.768, 0.000)
Ti (0.399, 0.924, 0.660)
Ti (0.601, 0.076, 0.340)
Ti (0.768, 0.232, 0.000)
Ti (0.924, 0.399, 0.660)
Al (0.337, 0.337, 0.838)
Al (0.663, 0.663, 0.162)
Ni (0.000, 0.000, 0.500)

=====

Record 2
The following is a PBE calculation of a geometry-optimized Sr4ZnH structure, from Alexandria via LeMat-Bulk.

Summary:
Symmetry: Cmcm (63)
Distance to the lowest polymorph of the same formula: 0 meV per atom
Total energy: -24.46 eV for the cell shown
Volume: 37.9 A^3/atom

Cell: 6.651 6.651 10.345 Å, 90.00 90.00 83.84°
Sites, in units of the cell vectors:
Sr (0.220, 0.780, 0.542)
Sr (0.220, 0.780, 0.958)
Sr (0.271, 0.336, 0.250)
Sr (0.336, 0.271, 0.750)
Sr (0.664, 0.729, 0.250)
Sr (0.729, 0.664, 0.750)
Sr (0.780, 0.220, 0.042)
Sr (0.780, 0.220, 0.458)
Zn (0.112, 0.888, 0.250)
Zn (0.888, 0.112, 0.750)
H (0.363, 0.637, 0.750)
H (0.637, 0.363, 0.250)

=====

Record 3
The following is a PBE calculation of a geometry-optimized BaCo2As structure, from Alexandria via LeMat-Bulk.

Summary:
Symmetry: P4mm (99)
Total energy: -19.93 eV for the cell shown
Formation energy from the elements: 0.214 eV per atom
Volume: 19.6 A^3/atom

Cell: 3.268 3.268 7.328 Å, 90.00 90.00 90.00°
Sites, in units of the cell vectors:
Ba (0.000, 0.000, 0.000)
Co (0.000, 0.000, 0.476)
Co (0.500, 0.500, 0.335)
As (0.500, 0.500, 0.650)

=====

Record 4
The following is a PBE calculation of a geometry-optimized Tb4MnHg structure, from Alexandria via LeMat-Bulk.

Summary:
Symmetry: C2/c (15)
Total energy: -57.29 eV for the cell shown
Formation energy from the elements: -0.109 eV per atom
Volume: 26.7 A^3/atom

Cell: 7.653 7.653 6.126 Å, 98.98 98.98 111.53°
Sites, in units of the cell vectors:
Tb (0.062, 0.729, 0.959)
Tb (0.204, 0.366, 0.600)
Tb (0.271, 0.938, 0.541)
Tb (0.366, 0.204, 0.100)
Tb (0.634, 0.796, 0.900)
Tb (0.729, 0.062, 0.459)
Tb (0.796, 0.634, 0.400)
Tb (0.938, 0.271, 0.041)
Mn (0.001, 0.999, 0.750)
Mn (0.999, 0.001, 0.250)
Hg (0.373, 0.627, 0.250)
Hg (0.627, 0.373, 0.750)

=====

Record 5
The following is a PBE calculation of a geometry-optimized ZrMo3H structure, from Alexandria via LeMat-Bulk.

Summary:
Symmetry: Pm-3m (221)
Distance to the lowest polymorph of the same formula: 0 meV per atom
Total energy: -43.03 eV for the cell shown
Volume: 14.4 A^3/atom

Cell: 4.162 4.162 4.162 Å, 90.00 90.00 90.00°
Sites, in units of the cell vectors:
Zr (0.000, 0.000, 0.000)
Mo (0.000, 0.500, 0.500)
Mo (0.500, 0.000, 0.500)
Mo (0.500, 0.500, 0.000)
H (0.500, 0.500, 0.500)

=====

Record 6
The following is a PBE calculation of a geometry-optimized VHgH structure, from Alexandria via LeMat-Bulk.

Summary:
Symmetry: P-6m2 (187)
Distance to the lowest polymorph of the same formula: 478 meV per atom
Total energy: -22.59 eV for the cell shown
Volume: 13.3 A^3/atom

Cell: 2.991 2.991 10.290 Å, 90.00 90.00 120.00°
Sites, in units of the cell vectors:
V (0.000, 0.000, 0.111)
V (0.000, 0.000, 0.889)
Hg (0.333, 0.667, 0.336)
Hg (0.333, 0.667, 0.664)
H (0.667, 0.333, 0.000)
H (0.667, 0.333, 0.500)

=====

Record 7
The following is a PBE calculation of a geometry-optimized Dy2SiB2Rh5 structure, from Alexandria via LeMat-Bulk.

Summary:
Symmetry: P4/mbm (127)
Total energy: -146.17 eV for the cell shown
Formation energy from raw total energies: -0.835 eV/atom
Volume: 14.1 A^3/atom

Cell: 9.367 9.367 3.219 Å, 90.00 90.00 90.00°
Sites, in units of the cell vectors:
Dy (0.176, 0.324, 0.000)
Dy (0.324, 0.824, 0.000)
Dy (0.676, 0.176, 0.000)
Dy (0.824, 0.676, 0.000)
Si (0.000, 0.000, 0.000)
Si (0.500, 0.500, 0.000)
B (0.122, 0.622, 0.000)
B (0.378, 0.122, 0.000)
B (0.622, 0.878, 0.000)
B (0.878, 0.378, 0.000)
Rh (0.000, 0.500, 0.500)
Rh (0.069, 0.785, 0.500)
Rh (0.215, 0.069, 0.500)
Rh (0.285, 0.569, 0.500)
Rh (0.431, 0.285, 0.500)
Rh (0.500, 0.000, 0.500)
Rh (0.569, 0.715, 0.500)
Rh (0.715, 0.431, 0.500)
Rh (0.785, 0.931, 0.500)
Rh (0.931, 0.215, 0.500)

=====

Record 8
The following is a PBE calculation of a geometry-optimized Ta4AsCl structure, from Alexandria via LeMat-Bulk.

Summary:
Symmetry: F-43m (216)
Total energy: -48.79 eV for the cell shown
Formation energy from raw total energies: 0.852 eV/atom
Volume: 20.1 A^3/atom

Cell: 5.550 5.550 5.550 Å, 60.00 60.00 60.00°
Sites, in units of the cell vectors:
Ta (0.376, 0.376, 0.376)
Ta (0.376, 0.376, 0.872)
Ta (0.376, 0.872, 0.376)
Ta (0.872, 0.376, 0.376)
As (0.000, 0.000, 0.000)
Cl (0.750, 0.750, 0.750)

=====

Record 9
The following is a PBE calculation of a geometry-optimized SrTc2 structure, from Alexandria via LeMat-Bulk.

Summary:
Symmetry: P-3m1 (164)
Distance to the lowest polymorph of the same formula: 568 meV per atom
Total energy: -19.75 eV for the cell shown
Formation energy from the elements: 0.887 eV per atom
Volume: 19.5 A^3/atom

Cell: 3.046 3.046 7.291 Å, 90.00 90.00 120.00°
Sites, in units of the cell vectors:
Sr (0.000, 0.000, 0.000)
Tc (0.333, 0.667, 0.627)
Tc (0.667, 0.333, 0.373)

=====

Record 10
The following is a PBE calculation of a geometry-optimized NbAsBr2F structure, from Alexandria via LeMat-Bulk.

Summary:
Symmetry: P4/mmm (123)
Distance to the lowest polymorph of the same formula: 555 meV per atom
Total energy: -18.40 eV for the cell shown
Formation energy from raw total energies: 0.308 eV/atom
Volume: 22.1 A^3/atom

Cell: 5.321 5.321 3.907 Å, 90.00 90.00 90.00°
Sites, in units of the cell vectors:
Nb (0.000, 0.000, 0.000)
As (0.500, 0.500, 0.000)
Br (0.000, 0.500, 0.500)
Br (0.500, 0.000, 0.500)
F (0.500, 0.500, 0.500)

=====

Record 11
The following is a PBE calculation of a geometry-optimized NaBS2Cl structure, from Alexandria via LeMat-Bulk.

Summary:
Symmetry: P4/mmm (123)
Distance to the lowest polymorph of the same formula: 0 meV per atom
Total energy: -18.53 eV for the cell shown
Formation energy from raw total energies: -0.087 eV/atom
Volume: 22.3 A^3/atom

Cell: 3.952 3.952 7.125 Å, 90.00 90.00 90.00°
Sites, in units of the cell vectors:
Na (0.000, 0.000, 0.000)
B (0.500, 0.500, 0.500)
S (0.000, 0.500, 0.500)
S (0.500, 0.000, 0.500)
Cl (0.500, 0.500, 0.000)

=====

Record 12
The following is a PBE calculation of a geometry-optimized Ni2TePd structure, from Alexandria via LeMat-Bulk.

Summary:
Symmetry: I-42d (122)
Total energy: -77.88 eV for the cell shown
Formation energy from raw total energies: 0.107 eV/atom
Volume: 15.9 A^3/atom

Cell: 6.975 6.975 5.242 Å, 90.00 90.00 90.00°
Sites, in units of the cell vectors:
Ni (0.237, 0.250, 0.125)
Ni (0.250, 0.737, 0.375)
Ni (0.250, 0.763, 0.875)
Ni (0.263, 0.250, 0.625)
Ni (0.737, 0.750, 0.625)
Ni (0.750, 0.237, 0.875)
Ni (0.750, 0.263, 0.375)
Ni (0.763, 0.750, 0.125)
Te (0.000, 0.000, 0.000)
Te (0.000, 0.500, 0.250)
Te (0.500, 0.000, 0.750)
Te (0.500, 0.500, 0.500)
Pd (0.000, 0.000, 0.500)
Pd (0.000, 0.500, 0.750)
Pd (0.500, 0.000, 0.250)
Pd (0.500, 0.500, 0.000)